Record 1
Entry from Alexandria: a relaxed structure of NbV3H (PBE).

Properties
- uncorrected energy (eV/atom) = -6.057
- V (Å³ per cell) = 105.1
- polymorph energy (0 for the lowest one) (kJ/mol of formula units) = 1038

Cell lengths 4.7194, 4.7194, 4.7194 Å; angles 90.00, 90.00, 90.00 degrees
Space group Pm-3m (No. 221)
Inequivalent atoms, fractional coordinates:
Nb1 0.0000 0.0000 0.0000 (multiplicity 1)
V1 0.0000 0.0000 0.5000 (multiplicity 3)
H1 0.5000 0.5000 0.5000 (multiplicity 1)

Record 2
Entry from Alexandria: a relaxed structure of Ba3TlRh (PBE).

Properties
- uncorrected energy (eV/atom) = -3.306
- V (Å³ per cell) = 859.5
- ΔH_f (0 K) (eV per atom) = -0.21
- polymorph energy (0 for the lowest one) (kJ/mol of formula units) = 0

Cell lengths 17.3405, 4.7102, 12.5459 Å; angles 90.00, 122.99, 90.00 degrees
Space group C2/m (No. 12)
Inequivalent atoms, fractional coordinates:
Ba1 0.1286 0.0000 0.1827 (multiplicity 4)
Ba2 0.1302 0.5000 0.4665 (multiplicity 4)
Ba3 0.1620 0.0000 0.8055 (multiplicity 4)
Tl1 0.0639 0.5000 0.9178 (multiplicity 4)
Rh1 0.2396 0.0000 0.6478 (multiplicity 4)

Record 3
Entry from Alexandria: a relaxed structure of ZrZnAs2Se (PBE).

Properties
- formation energy without anion corrections (meV per atom) = 377.7
- uncorrected energy (eV/atom) = -4.143
- V (Å³ per cell) = 109.9
- polymorph energy (0 for the lowest one) (kJ/mol of formula units) = 109

Cell lengths 4.7316, 4.7316, 4.9111 Å; angles 90.00, 90.00, 90.00 degrees
Space group P4/mmm (No. 123)
Inequivalent atoms, fractional coordinates:
Zr1 0.0000 0.0000 0.0000 (multiplicity 1)
Zn1 0.5000 0.5000 0.5000 (multiplicity 1)
As1 0.0000 0.5000 0.5000 (multiplicity 2)
Se1 0.5000 0.5000 0.0000 (multiplicity 1)

Record 4
Entry from Alexandria: a relaxed structure of Mg2AlSb (PBE).

Properties
- formation energy without anion corrections (meV per atom) = 136.8
- uncorrected energy (eV/atom) = -2.627
- V (Å³ per cell) = 389.5
- polymorph energy (0 for the lowest one) (kJ/mol of formula units) = 80

Cell lengths 8.0685, 8.0685, 5.9830 Å; angles 90.00, 90.00, 90.00 degrees
Space group I-42d (No. 122)
Inequivalent atoms, fractional coordinates:
Mg1 0.2458 0.7500 0.1250 (multiplicity 8)
Al1 0.0000 0.0000 0.5000 (multiplicity 4)
Sb1 0.0000 0.0000 0.0000 (multiplicity 4)

Record 5
Entry from Alexandria: a relaxed structure of Er4Te2PS (PBE).

Properties
- formation energy without anion corrections (meV per atom) = -1577.2
- uncorrected energy (eV/atom) = -5.836
- V (Å³ per cell) = 197.9

Cell lengths 7.0057, 4.0570, 7.3462 Å; angles 90.00, 108.63, 90.00 degrees
Space group P2/m (No. 10)
Inequivalent atoms, fractional coordinates:
Er1 0.2319 0.0000 0.2059 (multiplicity 2)
Er2 0.2620 0.5000 0.7950 (multiplicity 2)
Te1 0.0000 0.0000 0.5000 (multiplicity 1)
Te2 0.5000 0.5000 0.5000 (multiplicity 1)
P1 0.0000 0.5000 0.0000 (multiplicity 1)
S1 0.5000 0.0000 0.0000 (multiplicity 1)

Record 6
Entry from Alexandria: a relaxed structure of MnRe2Mo (PBE).

Properties
- uncorrected energy (eV/atom) = -11.117
- V (Å³ per cell) = 58.8
- ΔH_f (0 K) (eV per atom) = 0.11
- polymorph energy (0 for the lowest one) (kJ/mol of formula units) = 7

Cell lengths 3.1545, 4.3132, 4.3253 Å; angles 90.00, 90.00, 90.00 degrees
Space group Pmmm (No. 47)
Inequivalent atoms, fractional coordinates:
Mn1 0.0000 0.0000 0.0000 (multiplicity 1)
Re1 0.0000 0.5000 0.5000 (multiplicity 1)
Re2 0.5000 0.0000 0.5000 (multiplicity 1)
Mo1 0.5000 0.5000 0.0000 (multiplicity 1)

Record 7
Entry from Alexandria: a relaxed structure of K2CdOsI (PBE).

Properties
- formation energy without anion corrections (meV per atom) = 628.3
- uncorrected energy (eV/atom) = -2.550
- V (Å³ per cell) = 219.5

Cell lengths 6.5175, 6.5175, 5.1668 Å; angles 90.00, 90.00, 90.00 degrees
Space group P4/mmm (No. 123)
Inequivalent atoms, fractional coordinates:
K1 0.0000 0.5000 0.0000 (multiplicity 2)
Cd1 0.0000 0.0000 0.0000 (multiplicity 1)
Os1 0.0000 0.0000 0.5000 (multiplicity 1)
I1 0.5000 0.5000 0.5000 (multiplicity 1)

Record 8
Entry from Alexandria: a relaxed structure of Pr2GaPt3 (PBE).

Properties
- uncorrected energy (eV/atom) = -6.117
- V (Å³ per cell) = 1077.7
- ΔH_f (0 K) (eV per atom) = -1.00

Cell lengths 7.7729, 9.0416, 15.3341 Å; angles 90.00, 90.00, 90.00 degrees
Space group Fmmm (No. 69)
Inequivalent atoms, fractional coordinates:
Pr1 0.2446 0.0000 0.0000 (multiplicity 8)
Pr2 0.2500 0.2500 0.2500 (multiplicity 8)
Ga1 0.0000 0.0000 0.3325 (multiplicity 8)
Pt1 0.0000 0.0000 0.1699 (multiplicity 8)
Pt2 0.0000 0.2385 0.4130 (multiplicity 16)